A geometry-optimized Rb2MnBiF6 structure. Source: the Alexandria database, functional PBE with a Hubbard U.

Cell lengths 6.5518, 6.5518, 6.4635 Å; angles 59.55, 59.55, 90.00 degrees
Closest atoms and distances in Å follow each position.
Element x y z (fractional)
F (0.7302, 0.2698, 0.0000)  1 Mn 2.13
F (0.7423, 0.7423, 0.5154)  1 Mn 2.18, 1 Bi 2.32
F (0.2698, 0.2698, 0.0000)  1 Mn 2.13
F (0.2577, 0.2577, 0.4846)  1 Mn 2.18, 1 Bi 2.32
F (0.7302, 0.7302, 0.0000)  1 Mn 2.13
F (0.2698, 0.7302, 0.0000)  1 Mn 2.13
Rb (0.7500, 0.2500, 0.5000)  12 F 3.24-3.28
Rb (0.2500, 0.7500, 0.5000)  12 F 3.24-3.28
Mn (0.5000, 0.5000, 0.0000)  6 F 2.13-2.18
Bi (0.0000, 0.0000, 0.0000)  6 F 2.32-2.50

Values from the calculation:
For the electronic total energy, the calculation gives -48.49 eV per cell. As for the space group: I4/mmm. As for the density of states at the Fermi level: 0.213 states/eV per atom. For the density, the calculation gives 4.71 g/cm3.